(1)
Computed, not measured: crystalline Ac2Cu3Ir at its relaxed geometry at the PBE level of DFT.

The calculation puts the energy of formation at -184 kJ/mol of formula units. For the final energy, the calculation gives -5.213 eV/atom. As for the volume: 23.0 A^3/atom. The density of states at the Fermi level is 2.8 states/eV/f.u. The calculation puts the magnetic moment at 0.0 Bohr magnetons per cell.

Geometry as POSCAR:
```
Ac2Cu3Ir
1.0
4.174 0.000 0.000
0.000 4.358 0.000
0.000 0.000 7.585
Ac Cu Ir
2 3 1
Cartesian
0.000 0.000 0.000 Ac
0.000 2.179 3.569 Ac
2.087 0.000 4.967 Cu
2.087 2.179 1.092 Cu
2.087 2.179 6.200 Cu
2.087 0.000 2.424 Ir
```

(2)
Computed, not measured: crystalline AcCuIr at its relaxed geometry at the PBE level of DFT.

The calculation puts the energy of formation at -115 kJ/mol of formula units. For the final energy, the calculation gives -6.086 eV/atom. As for the volume: 22.7 A^3/atom. The density of states at the Fermi level is 2.5 states/eV/f.u. The calculation puts the magnetic moment at 0.0 Bohr magnetons per cell. As for the relative energy among the computed polymorphs: 0 meV per atom.

Geometry as POSCAR:
```
AcCuIr
1.0
4.343 0.000 0.000
-2.171 3.761 0.000
0.000 0.000 8.353
Ac Cu Ir
2 2 2
Cartesian
0.000 0.000 0.000 Ac
0.000 0.000 4.177 Ac
0.000 2.507 2.088 Cu
2.171 1.254 6.265 Cu
0.000 2.507 6.265 Ir
2.171 1.254 2.088 Ir
```

(3)
Computed, not measured: crystalline AcCuIr at its relaxed geometry at the PBE level of DFT.

The calculation puts the energy of formation at -107 kJ/mol of formula units. For the final energy, the calculation gives -6.058 eV/atom. As for the volume: 22.9 A^3/atom. The density of states at the Fermi level is 2.5 states/eV/f.u. The calculation puts the magnetic moment at 0.0 Bohr magnetons per cell. As for the relative energy among the computed polymorphs: 28 meV per atom.

Geometry as POSCAR:
```
AcCuIr
1.0
4.343 0.000 0.000
-2.172 3.762 0.000
0.000 0.000 4.209
Ac Cu Ir
1 1 1
Cartesian
0.000 0.000 0.000 Ac
2.172 1.254 2.105 Cu
0.000 2.508 2.105 Ir
```

(4)
Computed, not measured: crystalline Ac6Cu2Ir at its relaxed geometry at the PBE level of DFT.

The calculation puts the energy of formation at -191 kJ/mol of formula units. For the final energy, the calculation gives -4.854 eV/atom. As for the volume: 35.6 A^3/atom. The density of states at the Fermi level is 9.6 states/eV/f.u. The calculation puts the magnetic moment at 0.0 Bohr magnetons per cell.

Geometry as POSCAR:
```
Ac6Cu2Ir
1.0
7.247 0.000 0.000
0.000 7.920 0.000
-6.547 0.000 11.180
Ac Cu Ir
12 4 2
Cartesian
-0.948 0.382 2.803 Ac
-4.222 3.578 8.393 Ac
1.281 5.400 0.855 Ac
-1.992 6.480 6.445 Ac
2.386 1.503 0.780 Ac
-0.887 2.457 6.370 Ac
1.587 5.463 4.810 Ac
-1.686 6.417 10.400 Ac
2.692 1.440 4.735 Ac
-0.581 2.520 10.325 Ac
4.922 4.342 2.787 Ac
1.648 7.538 8.377 Ac
-2.661 0.862 8.619 Cu
0.613 3.098 3.029 Cu
0.087 4.822 8.151 Cu
3.361 7.058 2.561 Cu
0.000 0.000 0.000 Ir
-3.274 3.960 5.590 Ir
```

(5)
Computed, not measured: crystalline Ac4CuIr at its relaxed geometry at the PBE level of DFT.

The calculation puts the energy of formation at -162 kJ/mol of formula units. For the final energy, the calculation gives -5.179 eV/atom. As for the volume: 38.4 A^3/atom. The density of states at the Fermi level is 6.2 states/eV/f.u. The calculation puts the magnetic moment at 0.0 Bohr magnetons per cell.

Geometry as POSCAR:
```
Ac4CuIr
1.0
7.210 0.000 0.000
0.000 4.413 0.000
-2.768 0.000 7.250
Ac Cu Ir
4 1 1
Cartesian
1.074 0.000 1.713 Ac
-0.381 2.206 5.528 Ac
3.369 0.000 5.536 Ac
4.824 2.206 1.722 Ac
-1.384 0.000 3.625 Cu
0.000 2.206 0.000 Ir
```

(6)
Computed, not measured: crystalline Ac3Cu4Ir2 at its relaxed geometry at the PBE level of DFT.

The calculation puts the energy of formation at -303 kJ/mol of formula units. For the final energy, the calculation gives -5.508 eV/atom. As for the volume: 22.9 A^3/atom. The density of states at the Fermi level is 4.3 states/eV/f.u. The calculation puts the magnetic moment at 0.0 Bohr magnetons per cell.

Geometry as POSCAR:
```
Ac3Cu4Ir2
1.0
5.652 -2.179 0.000
5.652 2.179 0.000
-2.173 0.000 8.350
Ac Cu Ir
3 4 2
Cartesian
0.000 0.000 0.000 Ac
2.942 0.000 2.867 Ac
6.189 0.000 5.483 Ac
-0.312 0.000 3.207 Cu
1.070 0.000 7.881 Cu
8.061 0.000 0.469 Cu
9.444 0.000 5.144 Cu
2.833 0.000 6.057 Ir
6.299 0.000 2.293 Ir
```

(7)
Computed, not measured: crystalline Ac3CuIr2 at its relaxed geometry at the PBE level of DFT.

The calculation puts the energy of formation at -295 kJ/mol of formula units. For the final energy, the calculation gives -6.199 eV/atom. As for the volume: 28.5 A^3/atom. The density of states at the Fermi level is 3.2 states/eV/f.u. The calculation puts the magnetic moment at 0.0 Bohr magnetons per cell.

Geometry as POSCAR:
```
Ac3CuIr2
1.0
4.160 2.402 5.708
-4.160 2.402 5.708
0.000 -4.803 5.708
Ac Cu Ir
6 2 4
Cartesian
-2.871 -0.169 7.134 Ac
-1.289 -2.571 9.988 Ac
1.582 -2.402 7.134 Ac
-1.582 2.402 9.988 Ac
1.289 2.571 7.134 Ac
2.871 0.169 9.988 Ac
0.000 0.000 0.000 Cu
0.000 0.000 8.561 Cu
0.000 0.000 2.612 Ir
0.000 0.000 5.950 Ir
0.000 0.000 11.173 Ir
0.000 0.000 14.511 Ir
```

(8)
Computed, not measured: crystalline Ac2CuIr2 at its relaxed geometry at the PBE level of DFT.

The calculation puts the energy of formation at -218 kJ/mol of formula units. For the final energy, the calculation gives -6.460 eV/atom. As for the volume: 23.6 A^3/atom. The density of states at the Fermi level is 2.6 states/eV/f.u. The calculation puts the magnetic moment at 0.0 Bohr magnetons per cell. As for the relative energy among the computed polymorphs: 15 meV per atom.

Geometry as POSCAR:
```
Ac2CuIr2
1.0
5.094 -2.899 0.000
5.094 2.899 0.000
-2.165 0.000 7.978
Ac Cu Ir
4 2 4
Cartesian
1.181 0.843 1.190 Ac
0.099 -0.843 5.179 Ac
7.924 0.843 2.799 Ac
6.841 -0.843 6.788 Ac
4.552 0.731 1.995 Cu
3.470 -0.731 5.984 Cu
2.689 0.814 3.875 Ir
6.416 0.814 0.114 Ir
1.607 -0.814 7.864 Ir
5.333 -0.814 4.104 Ir
```

(9)
Computed, not measured: crystalline Ac3Cu2Ir7 at its relaxed geometry at the PBE level of DFT.

The calculation puts the energy of formation at -511 kJ/mol of formula units. For the final energy, the calculation gives -7.320 eV/atom. As for the volume: 19.0 A^3/atom. The density of states at the Fermi level is 9.7 states/eV/f.u. The calculation puts the magnetic moment at 0.0 Bohr magnetons per cell.

Geometry as POSCAR:
```
Ac3Cu2Ir7
1.0
2.751 1.588 8.699
-2.751 1.588 8.699
0.000 -3.176 8.699
Ac Cu Ir
3 2 7
Cartesian
0.000 0.000 0.000 Ac
0.000 0.000 3.653 Ac
0.000 0.000 22.443 Ac
0.000 0.000 8.715 Cu
0.000 0.000 17.381 Cu
-1.390 -0.802 10.787 Ir
0.000 -1.605 15.310 Ir
-1.390 0.802 15.310 Ir
0.000 0.000 13.048 Ir
1.390 -0.802 10.787 Ir
0.000 1.605 10.787 Ir
1.390 0.802 15.310 Ir
```

(10)
Computed, not measured: crystalline Ac4Cu3Ir at its relaxed geometry at the PBE level of DFT.

The calculation puts the energy of formation at -220 kJ/mol of formula units. For the final energy, the calculation gives -4.983 eV/atom. As for the volume: 27.7 A^3/atom. The density of states at the Fermi level is 6.5 states/eV/f.u. The calculation puts the magnetic moment at 0.0 Bohr magnetons per cell.

Geometry as POSCAR:
```
Ac4Cu3Ir
1.0
4.217 0.000 0.000
0.000 4.623 0.000
0.000 0.000 11.386
Ac Cu Ir
4 3 1
Cartesian
0.000 0.000 0.000 Ac
0.000 2.312 3.023 Ac
2.108 0.000 5.473 Ac
2.108 2.312 8.738 Ac
0.000 0.000 7.823 Cu
0.000 2.312 6.418 Cu
2.108 2.312 0.713 Cu
2.108 0.000 2.352 Ir
```

(11)
Computed, not measured: crystalline AcLaCuIr at its relaxed geometry at the PBE level of DFT.

The calculation puts the energy of formation at -143 kJ/mol of formula units. For the final energy, the calculation gives -5.868 eV/atom. As for the volume: 24.9 A^3/atom. The density of states at the Fermi level is 3.7 states/eV/f.u. The calculation puts the magnetic moment at 0.0 Bohr magnetons per cell. As for the relative energy among the computed polymorphs: 74 meV per atom.

Geometry as POSCAR:
```
AcLaCuIr
1.0
7.361 0.000 0.000
0.000 7.361 0.000
0.000 0.000 7.361
Ac La Cu Ir
4 4 4 4
Cartesian
0.000 0.000 0.000 Ac
0.000 3.681 3.681 Ac
3.681 0.000 3.681 Ac
3.681 3.681 0.000 Ac
0.000 0.000 3.681 La
0.000 3.681 0.000 La
3.681 0.000 0.000 La
3.681 3.681 3.681 La
1.840 1.840 1.840 Cu
1.840 5.521 5.521 Cu
5.521 1.840 5.521 Cu
5.521 5.521 1.840 Cu
1.840 1.840 5.521 Ir
1.840 5.521 1.840 Ir
5.521 1.840 1.840 Ir
5.521 5.521 5.521 Ir
```

(12)
Computed, not measured: crystalline AcLaCuIr at its relaxed geometry at the PBE level of DFT.

The calculation puts the energy of formation at -171 kJ/mol of formula units. For the final energy, the calculation gives -5.942 eV/atom. As for the volume: 25.9 A^3/atom. The density of states at the Fermi level is 3.7 states/eV/f.u. The calculation puts the magnetic moment at 0.0 Bohr magnetons per cell. As for the relative energy among the computed polymorphs: 0 meV per atom.

Geometry as POSCAR:
```
AcLaCuIr
1.0
4.454 0.000 0.000
0.000 4.135 0.000
0.000 0.000 11.255
Ac La Cu Ir
2 2 2 2
Cartesian
0.000 0.000 0.000 Ac
0.000 2.067 5.628 Ac
2.227 0.000 8.182 La
2.227 2.067 2.555 La
2.227 0.000 4.841 Cu
2.227 2.067 10.469 Cu
0.000 0.000 3.134 Ir
0.000 2.067 8.762 Ir
```

> Which of these has the highest volume?

Ac4CuIr